Compound: LiFeTcBr2
Source: Alexandria via LeMat-Bulk
Functional: PBE-GGA
Structure: optimized geometry

The calculation puts the density at 5.13 g/cm³. As for the crystal system: tetragonal. The electronic total energy comes out at -3.749 eV per atom. The value obtained for the uncorrected formation energy is 5.34 eV/f.u.

It has space group P4/mmm (No. 123), with a = 4.765 Å, b = 4.765 Å, c = 4.569 Å, α = 90.00°, β = 90.00° and γ = 90.00°. The inequivalent atoms are Li at (0.000, 0.000, 0.000), Fe at (0.000, 0.000, 0.500), Tc at (0.500, 0.500, 0.000) and Br at (0.000, 0.500, 0.500).